Record 1
# RuPt14Rh PBE-GGA relaxed
data_RuPt14Rh
_space_group_name_H-M_alt 'P 1'
_space_group_IT_number 1
_cell_length_a 9.2237
_cell_length_b 5.5725
_cell_length_c 5.5725
_cell_angle_alpha 60.02
_cell_angle_beta 90.00
_cell_angle_gamma 90.00
loop_
_space_group_symop_operation_xyz
'x,y,z'
loop_
_atom_site_label
_atom_site_type_symbol
_atom_site_fract_x
_atom_site_fract_y
_atom_site_fract_z
Ru1 Ru 0.0000 0.0000 0.0000
Pt1 Pt 0.0000 0.0005 0.4999
Pt2 Pt 0.0000 0.4999 0.0005
Pt3 Pt 0.2443 0.3314 0.8334
Pt4 Pt 0.2443 0.8334 0.3314
Pt5 Pt 0.2461 0.8345 0.8345
Pt6 Pt 0.2491 0.3338 0.3338
Pt7 Pt 0.5000 0.1670 0.1670
Pt8 Pt 0.5000 0.1672 0.6677
Pt9 Pt 0.5000 0.6671 0.6671
Pt10 Pt 0.5000 0.6677 0.1672
Pt11 Pt 0.7509 0.3338 0.3338
Pt12 Pt 0.7539 0.8345 0.8345
Pt13 Pt 0.7557 0.3314 0.8334
Pt14 Pt 0.7557 0.8334 0.3314
Rh1 Rh 0.0000 0.4999 0.4999
# **Magnetization**: 0.0 Bohr magnetons per cell
# **E_form**: 0.023 eV per atom
# **SG**: Amm2 (38)

=====

Record 2
# RuPt2Rh8 PBE-GGA relaxed
data_RuPt2Rh8
_space_group_name_H-M_alt 'P 1'
_space_group_IT_number 1
_cell_length_a 6.6025
_cell_length_b 6.6025
_cell_length_c 4.0564
_cell_angle_alpha 90.00
_cell_angle_beta 90.00
_cell_angle_gamma 105.59
loop_
_space_group_symop_operation_xyz
'x,y,z'
loop_
_atom_site_label
_atom_site_type_symbol
_atom_site_fract_x
_atom_site_fract_y
_atom_site_fract_z
Ru1 Ru 0.0000 0.0000 0.0000
Pt1 Pt 0.3777 0.6223 0.5000
Pt2 Pt 0.6223 0.3777 0.5000
Rh1 Rh 0.0381 0.2914 0.5000
Rh2 Rh 0.2406 0.7594 0.0000
Rh3 Rh 0.2914 0.0381 0.5000
Rh4 Rh 0.3304 0.3304 0.0000
Rh5 Rh 0.6696 0.6696 0.0000
Rh6 Rh 0.7086 0.9619 0.5000
Rh7 Rh 0.7594 0.2406 0.0000
Rh8 Rh 0.9619 0.7086 0.5000
# **Magnetization**: 0.0 Bohr magnetons per cell
# **E_form**: 0.281 eV per atom
# **SG**: Cmmm (65)

=====

Record 3
# RuPt6Rh8 PBE-GGA relaxed
data_RuPt6Rh8
_space_group_name_H-M_alt 'P 1'
_space_group_IT_number 1
_cell_length_a 6.8255
_cell_length_b 6.8255
_cell_length_c 6.8255
_cell_angle_alpha 60.38
_cell_angle_beta 60.38
_cell_angle_gamma 60.38
loop_
_space_group_symop_operation_xyz
'x,y,z'
loop_
_atom_site_label
_atom_site_type_symbol
_atom_site_fract_x
_atom_site_fract_y
_atom_site_fract_z
Ru1 Ru 0.0000 0.0000 0.0000
Pt1 Pt 0.0669 0.2657 0.5390
Pt2 Pt 0.2657 0.5390 0.0669
Pt3 Pt 0.4610 0.9331 0.7343
Pt4 Pt 0.5390 0.0669 0.2657
Pt5 Pt 0.7343 0.4610 0.9331
Pt6 Pt 0.9331 0.7343 0.4610
Rh1 Rh 0.1180 0.8067 0.6744
Rh2 Rh 0.1933 0.3256 0.8820
Rh3 Rh 0.3256 0.8820 0.1933
Rh4 Rh 0.4215 0.4215 0.4215
Rh5 Rh 0.5785 0.5785 0.5785
Rh6 Rh 0.6744 0.1180 0.8067
Rh7 Rh 0.8067 0.6744 0.1180
Rh8 Rh 0.8820 0.1933 0.3256
# **Magnetization**: 0.0 Bohr magnetons per cell
# **E_form**: 0.141 eV per atom
# **SG**: R-3 (148)

=====

Record 4
# RuPt4Rh6 PBE-GGA relaxed
data_RuPt4Rh6
_space_group_name_H-M_alt 'P 1'
_space_group_IT_number 1
_cell_length_a 4.6417
_cell_length_b 4.6417
_cell_length_c 19.1763
_cell_angle_alpha 90.00
_cell_angle_beta 90.00
_cell_angle_gamma 122.43
loop_
_space_group_symop_operation_xyz
'x,y,z'
loop_
_atom_site_label
_atom_site_type_symbol
_atom_site_fract_x
_atom_site_fract_y
_atom_site_fract_z
Ru1 Ru 0.0692 0.9308 0.7500
Ru2 Ru 0.9308 0.0692 0.2500
Pt1 Pt 0.1175 0.8825 0.1309
Pt2 Pt 0.1175 0.8825 0.3691
Pt3 Pt 0.3355 0.6645 0.0221
Pt4 Pt 0.3355 0.6645 0.4779
Pt5 Pt 0.6645 0.3355 0.5221
Pt6 Pt 0.6645 0.3355 0.9779
Pt7 Pt 0.8825 0.1175 0.6309
Pt8 Pt 0.8825 0.1175 0.8691
Rh1 Rh 0.0000 0.0000 0.0000
Rh2 Rh 0.0000 0.0000 0.5000
Rh3 Rh 0.2079 0.7921 0.6128
Rh4 Rh 0.2079 0.7921 0.8872
Rh5 Rh 0.2487 0.7513 0.2500
Rh6 Rh 0.4616 0.5384 0.1534
Rh7 Rh 0.4616 0.5384 0.3466
Rh8 Rh 0.5384 0.4616 0.6534
Rh9 Rh 0.5384 0.4616 0.8466
Rh10 Rh 0.7513 0.2487 0.7500
Rh11 Rh 0.7921 0.2079 0.1128
Rh12 Rh 0.7921 0.2079 0.3872
# **Magnetization**: 0.0 Bohr magnetons per cell
# **E_form**: 0.290 eV per atom
# **SG**: Cmcm (63)

=====

Record 5
# RuPtRh2 PBE-GGA relaxed
data_RuPtRh2
_space_group_name_H-M_alt 'P 1'
_space_group_IT_number 1
_cell_length_a 4.7436
_cell_length_b 2.7296
_cell_length_c 4.7512
_cell_angle_alpha 90.00
_cell_angle_beta 109.91
_cell_angle_gamma 90.00
loop_
_space_group_symop_operation_xyz
'x,y,z'
loop_
_atom_site_label
_atom_site_type_symbol
_atom_site_fract_x
_atom_site_fract_y
_atom_site_fract_z
Ru1 Ru 0.0000 0.0000 0.0000
Pt1 Pt 0.5000 0.5000 0.0000
Rh1 Rh 0.0000 0.5000 0.5000
Rh2 Rh 0.5000 0.0000 0.5000
# **Magnetization**: 0.0 Bohr magnetons per cell
# **E_form**: 0.029 eV per atom
# **Polymorph energy (0 for the lowest one)**: 72 meV per atom
# **SG**: P2/m (10)

=====

Record 6
# RuPtRh2 PBE-GGA relaxed
data_RuPtRh2
_space_group_name_H-M_alt 'P 1'
_space_group_IT_number 1
_cell_length_a 6.2145
_cell_length_b 6.2145
_cell_length_c 6.2145
_cell_angle_alpha 90.00
_cell_angle_beta 90.00
_cell_angle_gamma 90.00
loop_
_space_group_symop_operation_xyz
'x,y,z'
loop_
_atom_site_label
_atom_site_type_symbol
_atom_site_fract_x
_atom_site_fract_y
_atom_site_fract_z
Ru1 Ru 0.0000 0.0000 0.0000
Ru2 Ru 0.0000 0.5000 0.5000
Ru3 Ru 0.5000 0.0000 0.5000
Ru4 Ru 0.5000 0.5000 0.0000
Pt1 Pt 0.0000 0.0000 0.5000
Pt2 Pt 0.0000 0.5000 0.0000
Pt3 Pt 0.5000 0.0000 0.0000
Pt4 Pt 0.5000 0.5000 0.5000
Rh1 Rh 0.2500 0.2500 0.2500
Rh2 Rh 0.2500 0.2500 0.7500
Rh3 Rh 0.2500 0.7500 0.2500
Rh4 Rh 0.2500 0.7500 0.7500
Rh5 Rh 0.7500 0.2500 0.2500
Rh6 Rh 0.7500 0.2500 0.7500
Rh7 Rh 0.7500 0.7500 0.2500
Rh8 Rh 0.7500 0.7500 0.7500
# **Magnetization**: 9.9 Bohr magnetons per cell
# **E_form**: 0.322 eV per atom
# **Polymorph energy (0 for the lowest one)**: 366 meV per atom
# **SG**: Fm-3m (225)

=====

Q: Which of these has the highest magnetization?
A: number 6